[1]
# Pm3Bi2S

Crystalline Pm3Bi2S at its relaxed geometry (PBE, the Alexandria database).

```
data_Pm3Bi2S
_cell_length_a 7.6894
_cell_length_b 13.2142
_cell_length_c 7.5956
_cell_angle_alpha 90.00
_cell_angle_beta 109.18
_cell_angle_gamma 90.00
_symmetry_space_group_name_H-M 'C 1 2/c 1'
_symmetry_Int_Tables_number 15
_symmetry_space_group_name_Hall '-C 2yc'
loop_
_atom_site_label
_atom_site_fract_x
_atom_site_fract_y
_atom_site_fract_z
Pm1 0.2223 0.0764 0.4943
Pm2 0.2500 0.2500 0.0000
Bi1 0.0000 0.2586 0.2500
Bi2 0.0000 0.4186 0.7500
S1 0.0000 0.0863 0.7500
```

Computed properties:
crystal system: monoclinic



[2]
# Pm2BiS6

Crystalline Pm2BiS6 at its relaxed geometry (PBE, the Alexandria database).

```
data_Pm2BiS6
_cell_length_a 7.0384
_cell_length_b 7.1850
_cell_length_c 10.3779
_cell_angle_alpha 90.00
_cell_angle_beta 123.68
_cell_angle_gamma 90.00
_symmetry_space_group_name_H-M 'P 1 21/c 1'
_symmetry_Int_Tables_number 14
_symmetry_space_group_name_Hall '-P 2ybc'
loop_
_atom_site_label
_atom_site_fract_x
_atom_site_fract_y
_atom_site_fract_z
Pm1 0.1877 0.1478 0.2171
Bi1 0.5000 0.0000 0.0000
S1 0.0867 0.1635 0.9108
S2 0.2694 0.6422 0.9628
S3 0.3754 0.5221 0.1891
```

Computed properties:
crystal system: monoclinic



[3]
# Pm4BiS2

Crystalline Pm4BiS2 at its relaxed geometry (PBE, the Alexandria database).

```
data_Pm4BiS2
_cell_length_a 4.2126
_cell_length_b 13.3848
_cell_length_c 13.7750
_cell_angle_alpha 90.00
_cell_angle_beta 90.00
_cell_angle_gamma 90.00
_symmetry_space_group_name_H-M 'C m c m'
_symmetry_Int_Tables_number 63
_symmetry_space_group_name_Hall '-C 2c 2'
loop_
_atom_site_label
_atom_site_fract_x
_atom_site_fract_y
_atom_site_fract_z
Pm1 0.0000 0.0000 0.0000
Pm2 0.0000 0.2623 0.1131
Pm3 0.0000 0.4333 0.7500
Bi1 0.0000 0.1114 0.7500
S1 0.0000 0.3684 0.5595
```

Computed properties:
crystal system: orthorhombic



[4]
# Pm2BiS

Crystalline Pm2BiS at its relaxed geometry (PBE, the Alexandria database).

```
data_Pm2BiS
_cell_length_a 3.5532
_cell_length_b 3.5532
_cell_length_c 8.0954
_cell_angle_alpha 90.00
_cell_angle_beta 90.00
_cell_angle_gamma 90.00
_symmetry_space_group_name_H-M 'P 4/m m m'
_symmetry_Int_Tables_number 123
_symmetry_space_group_name_Hall '-P 4 2'
loop_
_atom_site_label
_atom_site_fract_x
_atom_site_fract_y
_atom_site_fract_z
Pm1 0.0000 0.0000 0.2154
Bi1 0.5000 0.5000 0.5000
S1 0.5000 0.5000 0.0000
```

Computed properties:
E above lowest polymorph: 1.130 eV/f.u.
crystal system: tetragonal



[5]
# Pm2BiS4

Crystalline Pm2BiS4 at its relaxed geometry (PBE, the Alexandria database).

```
data_Pm2BiS4
_cell_length_a 11.8159
_cell_length_b 11.8331
_cell_length_c 8.3562
_cell_angle_alpha 90.00
_cell_angle_beta 134.97
_cell_angle_gamma 90.00
_symmetry_space_group_name_H-M 'C 1 2/c 1'
_symmetry_Int_Tables_number 15
_symmetry_space_group_name_Hall '-C 2yc'
loop_
_atom_site_label
_atom_site_fract_x
_atom_site_fract_y
_atom_site_fract_z
Pm1 0.0000 0.0000 0.0000
Pm2 0.2500 0.2500 0.0000
Bi1 0.0000 0.3752 0.2500
S1 0.0000 0.2391 0.5213
S2 0.2288 0.0110 0.9788
```

Computed properties:
crystal system: monoclinic



[6]
# PmBi2S4

Crystalline PmBi2S4 at its relaxed geometry (PBE, the Alexandria database).

```
data_PmBi2S4
_cell_length_a 4.2371
_cell_length_b 13.0358
_cell_length_c 13.1591
_cell_angle_alpha 90.00
_cell_angle_beta 90.00
_cell_angle_gamma 90.00
_symmetry_space_group_name_H-M 'C m c m'
_symmetry_Int_Tables_number 63
_symmetry_space_group_name_Hall '-C 2c 2'
loop_
_atom_site_label
_atom_site_fract_x
_atom_site_fract_y
_atom_site_fract_z
Pm1 0.0000 0.1261 0.2500
Bi1 0.0000 0.3746 0.0642
S1 0.0000 0.0000 0.0000
S2 0.0000 0.2749 0.6230
S3 0.0000 0.4833 0.2500
```

Computed properties:
crystal system: orthorhombic



[7]
# Pm4Bi3S

Crystalline Pm4Bi3S at its relaxed geometry (PBE, the Alexandria database).

```
data_Pm4Bi3S
_cell_length_a 8.9152
_cell_length_b 12.5999
_cell_length_c 4.4570
_cell_angle_alpha 90.00
_cell_angle_beta 90.00
_cell_angle_gamma 90.00
_symmetry_space_group_name_H-M 'C m m m'
_symmetry_Int_Tables_number 65
_symmetry_space_group_name_Hall '-C 2 2'
loop_
_atom_site_label
_atom_site_fract_x
_atom_site_fract_y
_atom_site_fract_z
Pm1 0.0000 0.2407 0.0000
Pm2 0.2342 0.0000 0.5000
Bi1 0.0000 0.5000 0.0000
Bi2 0.2500 0.2500 0.5000
S1 0.0000 0.0000 0.0000
```

Computed properties:
crystal system: orthorhombic



[8]
# Pm4Bi2S

Crystalline Pm4Bi2S at its relaxed geometry (PBE, the Alexandria database).

```
data_Pm4Bi2S
_cell_length_a 5.2277
_cell_length_b 5.2277
_cell_length_c 16.6309
_cell_angle_alpha 90.00
_cell_angle_beta 90.00
_cell_angle_gamma 90.00
_symmetry_space_group_name_H-M 'I 4/m m m'
_symmetry_Int_Tables_number 139
_symmetry_space_group_name_Hall '-I 4 2'
loop_
_atom_site_label
_atom_site_fract_x
_atom_site_fract_y
_atom_site_fract_z
Pm1 0.0000 0.0000 0.1671
Pm2 0.0000 0.5000 0.0000
Bi1 0.0000 0.0000 0.3620
S1 0.0000 0.0000 0.0000
```

Computed properties:
crystal system: tetragonal



Number 1: raw formation energy -1.23 eV per atom, DOS(E_F) 7.4 states/eV/cell. Number 2: raw formation energy -1.04 eV per atom, DOS(E_F) 9.8 states/eV/cell. Number 3: raw formation energy -1.44 eV per atom, DOS(E_F) 17.6 states/eV/cell. Number 4: raw formation energy -1.14 eV per atom, DOS(E_F) 2.9 states/eV/cell. Number 5: raw formation energy -1.39 eV per atom, DOS(E_F) 14.0 states/eV/cell. Number 6: raw formation energy -0.82 eV per atom, DOS(E_F) 3.6 states/eV/cell. Number 7: raw formation energy -1.15 eV per atom, DOS(E_F) 3.7 states/eV/cell. Number 8: raw formation energy -0.92 eV per atom, DOS(E_F) 12.5 states/eV/cell.